Entry one
## ZnSi2As (PBE-GGA)

Data for a geometry-optimized ZnSi2As structure.

Cell: 2.563 5.067 5.211 Å, 90.00 90.00 90.00°
Space group Pmmm (No. 47)
Symmetry-distinct sites (fractional):
1 Zn 0.000 0.000 0.000 [1 per cell]
2 Si 0.500 0.500 0.247 [2 per cell]
3 As 0.000 0.000 0.500 [1 per cell]

The value obtained for the density of states at the Fermi level is 1.69 states/eV/cell. The value obtained for the density is 4.8 g cm⁻³. As for the magnetization: 0.000 Bohr magnetons per cell.



Entry two
## ZnSi2As (PBE-GGA)

Data for a geometry-optimized ZnSi2As structure.

Cell: 3.323 4.332 9.145 Å, 90.00 90.00 90.00°
Space group Cmmm (No. 65)
Symmetry-distinct sites (fractional):
1 Zn 0.000 0.000 0.000 [2 per cell]
2 Si 0.000 0.500 0.237 [4 per cell]
3 As 0.000 0.000 0.500 [2 per cell]

The value obtained for the density of states at the Fermi level is 2.73 states/eV/cell. The value obtained for the density is 5.0 g cm⁻³. As for the magnetization: 0.000 Bohr magnetons per cell.



Verdict on stability: entry two comes out at the bottom.



Entry one
## Zr4SiAs (PBE-GGA)

Data for a geometry-optimized Zr4SiAs structure.

Cell: 6.609 6.609 5.419 Å, 90.00 90.00 90.00°
Space group P4/mcc (No. 124)
Symmetry-distinct sites (fractional):
1 Zr 0.155 0.339 0.000 [8 per cell]
2 Si 0.000 0.000 0.250 [2 per cell]
3 As 0.500 0.500 0.250 [2 per cell]

The value obtained for the density of states at the Fermi level is 5.28 states/eV/cell. The value obtained for the density is 6.6 g cm⁻³. As for the magnetization: 0.000 Bohr magnetons per cell.



Entry two
## Zr4SiAs (PBE-GGA)

Data for a geometry-optimized Zr4SiAs structure.

Cell: 8.004 8.004 8.004 Å, 90.00 90.00 90.00°
Space group F-43m (No. 216)
Symmetry-distinct sites (fractional):
1 Zr 0.124 0.124 0.376 [16 per cell]
2 Si 0.250 0.250 0.750 [4 per cell]
3 As 0.000 0.000 0.000 [4 per cell]

The value obtained for the density of states at the Fermi level is 23.49 states/eV/cell. The value obtained for the density is 6.1 g cm⁻³. As for the magnetization: 0.000 Bohr magnetons per cell.



Verdict on stability: entry two comes out at the bottom.



Entry one
## ZrSi3As (PBE-GGA)

Data for a geometry-optimized ZrSi3As structure.

Cell: 4.709 4.709 4.709 Å, 90.00 90.00 90.00°
Space group Pm-3m (No. 221)
Symmetry-distinct sites (fractional):
1 Zr 0.000 0.000 0.000 [1 per cell]
2 Si 0.000 0.500 0.500 [3 per cell]
3 As 0.500 0.500 0.500 [1 per cell]

The value obtained for the density of states at the Fermi level is 5.31 states/eV/cell. The value obtained for the density is 4.0 g cm⁻³. As for the magnetization: 0.000 Bohr magnetons per cell.



Entry two
## ZrSi3As (PBE-GGA)

Data for a geometry-optimized ZrSi3As structure.

Cell: 5.082 5.082 5.082 Å, 90.00 90.00 90.00°
Space group Pm-3m (No. 221)
Symmetry-distinct sites (fractional):
1 Zr 0.000 0.000 0.000 [1 per cell]
2 Si 0.000 0.000 0.500 [3 per cell]
3 As 0.500 0.500 0.500 [1 per cell]

The value obtained for the density of states at the Fermi level is 4.13 states/eV/cell. The value obtained for the density is 3.2 g cm⁻³. As for the magnetization: 0.000 Bohr magnetons per cell.



Verdict on stability: entry two comes out at the bottom.